This record from Alexandria describes a geometry-optimized TbH4Pd2 structure. The functional is PBE.

Values from the calculation:
The total energy comes out at -4.424 eV/atom.

a = 3.4522 Å, b = 5.0836 Å, c = 8.4834 Å
α = 90.00°, β = 90.00°, γ = 109.85°
Last column: nearest neighbours and their distance in Å.
Positions (direct):
Tb1 0.5894 0.1787 0.7500  4 H 2.25-2.29
Tb2 0.4106 0.8213 0.2500  4 H 2.25-2.29
H1 0.7579 0.5158 0.1133  1 Pd 1.75
H2 0.7579 0.5158 0.3867  1 Pd 1.75
H3 0.2421 0.4842 0.8867  1 Pd 1.75
H4 0.2421 0.4842 0.6133  1 Pd 1.75
H5 0.9379 0.8758 0.7500  2 Pd 1.79
H6 0.0621 0.1242 0.2500  2 Pd 1.79
H7 0.5000 0.0000 0.0000  4 Pd 2.24, 2 Tb 2.29
H8 0.5000 0.0000 0.5000  4 Pd 2.24, 2 Tb 2.29
Pd1 0.1398 0.2796 0.4426  2 H 1.75-1.79
Pd2 0.8602 0.7204 0.9426  2 H 1.75-1.79
Pd3 0.1398 0.2796 0.0574  2 H 1.75-1.79
Pd4 0.8602 0.7204 0.5574  2 H 1.75-1.79

---

This record from Alexandria describes a geometry-optimized TcH2Pd structure. The functional is PBE.

Values from the calculation:
The value obtained for the energy above the most stable polymorph in this dataset is 0.039 eV per atom.

a = 2.8947 Å, b = 2.8947 Å, c = 5.3766 Å
α = 74.38°, β = 74.38°, γ = 60.00°
Last column: nearest neighbours and their distance in Å.
Positions (direct):
H1 0.1148 0.1148 0.6555  1 Pd 1.76, 3 Tc 1.85
H2 0.8852 0.8852 0.3445  1 Pd 1.76, 3 Tc 1.85
Tc1 0.5000 0.5000 0.5000  6 H 1.85
Pd1 0.0000 0.0000 0.0000  2 H 1.76

---

This record from Alexandria describes a geometry-optimized TcH2Pd structure. The functional is PBE.

Values from the calculation:
The value obtained for the energy above the most stable polymorph in this dataset is 0.611 eV per atom.

a = 3.7705 Å, b = 3.7705 Å, c = 3.7705 Å
α = 60.00°, β = 60.00°, γ = 60.00°
Last column: nearest neighbours and their distance in Å.
Positions (direct):
H1 0.2500 0.2500 0.2500  4 Pd 2.31, 4 Tc 2.31
H2 0.7500 0.7500 0.7500  4 Tc 2.31, 4 Pd 2.31
Tc1 0.0000 0.0000 0.0000  8 H 2.31
Pd1 0.5000 0.5000 0.5000  8 H 2.31

---

This record from Alexandria describes a geometry-optimized TcH2Pd structure. The functional is PBE.

Values from the calculation:
The value obtained for the energy above the most stable polymorph in this dataset is 0.099 eV per atom.

a = 4.2312 Å, b = 4.2312 Å, c = 5.0933 Å
α = 65.46°, β = 65.46°, γ = 90.00°
Last column: nearest neighbours and their distance in Å.
Positions (direct):
H1 0.6236 0.1250 0.2500  2 Tc 1.81, 2 Pd 1.82
H2 0.1264 0.6250 0.2500  2 Tc 1.81, 2 Pd 1.82
H3 0.3750 0.3764 0.7500  2 Tc 1.81, 2 Pd 1.82
H4 0.8750 0.8736 0.7500  2 Tc 1.81, 2 Pd 1.82
Tc1 0.5000 0.5000 0.0000  4 H 1.81
Tc2 0.2500 0.7500 0.5000  4 H 1.81
Pd1 0.0000 0.0000 0.0000  4 H 1.82
Pd2 0.7500 0.2500 0.5000  4 H 1.82

---

This record from Alexandria describes a geometry-optimized Tc2H2Pd structure. The functional is PBE.

Values from the calculation:
The value obtained for the energy above the most stable polymorph in this dataset is 0.000 eV per atom.

a = 3.4515 Å, b = 3.4515 Å, c = 4.8636 Å
α = 69.22°, β = 69.22°, γ = 90.00°
Last column: nearest neighbours and their distance in Å.
Positions (direct):
H1 0.7500 0.2500 0.5000  4 Tc 1.89
H2 0.2500 0.7500 0.5000  4 Tc 1.89
Tc1 0.3424 0.3424 0.3152  4 H 1.89
Tc2 0.6576 0.6576 0.6848  4 H 1.89
Pd1 0.0000 0.0000 0.0000  8 H 2.72, 10 Tc 2.78-2.88

---

This record from Alexandria describes a geometry-optimized TcHPd3 structure. The functional is PBE.

Values from the calculation:
The value obtained for the energy above the most stable polymorph in this dataset is 0.000 eV per atom.

a = 4.0290 Å, b = 4.0290 Å, c = 4.0290 Å
α = 90.00°, β = 90.00°, γ = 90.00°
Last column: nearest neighbours and their distance in Å.
Positions (direct):
H1 0.0000 0.0000 0.0000  6 Pd 2.01
Tc1 0.5000 0.5000 0.5000  12 Pd 2.85
Pd1 0.0000 0.5000 0.0000  2 H 2.01
Pd2 0.0000 0.0000 0.5000  2 H 2.01
Pd3 0.5000 0.0000 0.0000  2 H 2.01

---

M_tot, record by record: 0.000, 0.000, 1.866, 0.015, 1.056, 4.049 μB per formula unit